# 1
The following is a PBE-GGA calculation of crystalline MnPbCl2 at its relaxed geometry, from Alexandria via LeMat-Bulk.

Geometry as CIF:
```
data_MnPbCl2
_cell_length_a 4.885
_cell_length_b 4.906
_cell_length_c 7.695
_cell_angle_alpha 90.00
_cell_angle_beta 90.00
_cell_angle_gamma 90.00
_symmetry_space_group_name_H-M 'C m m 2'
_symmetry_Int_Tables_number 35
loop_
_symmetry_equiv_pos_as_xyz
'x,y,z'
'-x,-y,z'
'-x,y,z'
'x,-y,z'
'x+1/2,y+1/2,z'
'-x+1/2,-y+1/2,z'
'-x+1/2,y+1/2,z'
'x+1/2,-y+1/2,z'
loop_
_atom_site_label
_atom_site_type_symbol
_atom_site_fract_x
_atom_site_fract_y
_atom_site_fract_z
Mn1 Mn 0.000 0.000 0.000
Pb1 Pb 0.000 0.500 0.718
Cl1 Cl 0.000 0.000 0.472
Cl2 Cl 0.000 0.500 0.128
```

## Properties
Polymorph energy (0 for the lowest one)   313 meV/atom
DOS at the Fermi energy   2.41 states/eV/f.u.
Total magnetic moment   8.70 μB/cell
ρ   6.0 g cm⁻³

***

# 2
The following is a PBE-GGA calculation of crystalline MnPbCl2 at its relaxed geometry, from Alexandria via LeMat-Bulk.

Geometry as CIF:
```
data_MnPbCl2
_cell_length_a 7.268
_cell_length_b 7.268
_cell_length_c 7.268
_cell_angle_alpha 90.00
_cell_angle_beta 90.00
_cell_angle_gamma 90.00
_symmetry_space_group_name_H-M 'F -4 3 m'
_symmetry_Int_Tables_number 216
_symmetry_space_group_name_Hall 'F -4 2 3'
loop_
_atom_site_label
_atom_site_type_symbol
_atom_site_fract_x
_atom_site_fract_y
_atom_site_fract_z
Mn1 Mn 0.000 0.000 0.000
Pb1 Pb 0.250 0.250 0.750
Cl1 Cl 0.000 0.000 0.500
Cl2 Cl 0.250 0.250 0.250
```

## Properties
Polymorph energy (0 for the lowest one)   732 meV/atom
DOS at the Fermi energy   3.64 states/eV/f.u.
Total magnetic moment   19.86 μB/cell
ρ   5.8 g cm⁻³

***

# 3
The following is a PBE-GGA calculation of crystalline Mn2PbCl at its relaxed geometry, from Alexandria via LeMat-Bulk.

Geometry as CIF:
```
data_Mn2PbCl
_cell_length_a 3.178
_cell_length_b 4.432
_cell_length_c 6.005
_cell_angle_alpha 90.00
_cell_angle_beta 105.22
_cell_angle_gamma 90.00
_symmetry_space_group_name_H-M 'P 1 m 1'
_symmetry_Int_Tables_number 6
loop_
_symmetry_equiv_pos_as_xyz
'x,y,z'
'x,-y,z'
loop_
_atom_site_label
_atom_site_type_symbol
_atom_site_fract_x
_atom_site_fract_y
_atom_site_fract_z
Mn1 Mn 0.000 0.000 0.000
Mn2 Mn 0.378 0.500 0.758
Pb1 Pb 0.623 0.500 0.249
Cl1 Cl 0.327 0.000 0.654
```

## Properties
Polymorph energy (0 for the lowest one)   151 meV/atom
DOS at the Fermi energy   1.64 states/eV/f.u.
Total magnetic moment   7.41 μB/cell
ρ   7.2 g cm⁻³

***

# 4
The following is a PBE-GGA calculation of crystalline Mn2PbCl at its relaxed geometry, from Alexandria via LeMat-Bulk.

Geometry as CIF:
```
data_Mn2PbCl
_cell_length_a 7.098
_cell_length_b 7.098
_cell_length_c 7.098
_cell_angle_alpha 90.00
_cell_angle_beta 90.00
_cell_angle_gamma 90.00
_symmetry_space_group_name_H-M 'F -4 3 m'
_symmetry_Int_Tables_number 216
_symmetry_space_group_name_Hall 'F -4 2 3'
loop_
_atom_site_label
_atom_site_type_symbol
_atom_site_fract_x
_atom_site_fract_y
_atom_site_fract_z
Mn1 Mn 0.000 0.000 0.000
Mn2 Mn 0.250 0.250 0.250
Pb1 Pb 0.250 0.250 0.750
Cl1 Cl 0.000 0.000 0.500
```

## Properties
Polymorph energy (0 for the lowest one)   595 meV/atom
DOS at the Fermi energy   3.89 states/eV/f.u.
Total magnetic moment   33.83 μB/cell
ρ   6.5 g cm⁻³

***

# 5
The following is a PBE-GGA calculation of crystalline MnPb2Cl at its relaxed geometry, from Alexandria via LeMat-Bulk.

Geometry as CIF:
```
data_MnPb2Cl
_cell_length_a 3.6485
_cell_length_b 3.6485
_cell_length_c 26.3649
_cell_angle_alpha 90.00
_cell_angle_beta 90.00
_cell_angle_gamma 120.00
_symmetry_space_group_name_H-M 'R -3 m'
_symmetry_Int_Tables_number 166
_symmetry_space_group_name_Hall '-R 3 2"'
loop_
_atom_site_label
_atom_site_type_symbol
_atom_site_fract_x
_atom_site_fract_y
_atom_site_fract_z
Mn1 Mn 0.0000 0.0000 0.0000
Pb1 Pb 0.0000 0.0000 0.2561
Cl1 Cl 0.0000 0.0000 0.5000
```

## Properties
Polymorph energy (0 for the lowest one)   176 meV/atom
DOS at the Fermi energy   2.33 states/eV/f.u.
Total magnetic moment   10.49 μB/cell
ρ   8.3 g cm⁻³

***

# 6
The following is a PBE-GGA calculation of crystalline Mn2PbCl at its relaxed geometry, from Alexandria via LeMat-Bulk.

Geometry as CIF:
```
data_Mn2PbCl
_cell_length_a 9.678
_cell_length_b 3.121
_cell_length_c 7.819
_cell_angle_alpha 90.00
_cell_angle_beta 127.44
_cell_angle_gamma 90.00
_symmetry_space_group_name_H-M 'C 1 2/m 1'
_symmetry_Int_Tables_number 12
loop_
_symmetry_equiv_pos_as_xyz
'x,y,z'
'-x,-y,-z'
'-x,y,-z'
'x,-y,z'
'x+1/2,y+1/2,z'
'-x+1/2,-y+1/2,-z'
'-x+1/2,y+1/2,-z'
'x+1/2,-y+1/2,z'
loop_
_atom_site_label
_atom_site_type_symbol
_atom_site_fract_x
_atom_site_fract_y
_atom_site_fract_z
Mn1 Mn 0.182 0.000 0.322
Pb1 Pb 0.000 0.000 0.500
Cl1 Cl 0.000 0.500 0.000
```

## Properties
Polymorph energy (0 for the lowest one)   101 meV/atom
DOS at the Fermi energy   2.92 states/eV/f.u.
Total magnetic moment   14.73 μB/cell
ρ   6.2 g cm⁻³

***

# 7
The following is a PBE-GGA calculation of crystalline MnPb2Cl at its relaxed geometry, from Alexandria via LeMat-Bulk.

Geometry as CIF:
```
data_MnPb2Cl
_cell_length_a 3.279
_cell_length_b 4.369
_cell_length_c 14.872
_cell_angle_alpha 90.00
_cell_angle_beta 90.00
_cell_angle_gamma 90.00
_symmetry_space_group_name_H-M 'I m m m'
_symmetry_Int_Tables_number 71
_symmetry_space_group_name_Hall '-I 2 2'
loop_
_atom_site_label
_atom_site_type_symbol
_atom_site_fract_x
_atom_site_fract_y
_atom_site_fract_z
Mn1 Mn 0.000 0.000 0.000
Pb1 Pb 0.000 0.500 0.315
Cl1 Cl 0.000 0.000 0.500
```

## Properties
Polymorph energy (0 for the lowest one)   119 meV/atom
DOS at the Fermi energy   2.12 states/eV/f.u.
Total magnetic moment   8.87 μB/cell
ρ   7.9 g cm⁻³

***

# 8
The following is a PBE-GGA calculation of crystalline Mn2PbCl at its relaxed geometry, from Alexandria via LeMat-Bulk.

Geometry as CIF:
```
data_Mn2PbCl
_cell_length_a 3.245
_cell_length_b 5.853
_cell_length_c 8.600
_cell_angle_alpha 90.00
_cell_angle_beta 90.00
_cell_angle_gamma 90.00
_symmetry_space_group_name_H-M 'I m m m'
_symmetry_Int_Tables_number 71
_symmetry_space_group_name_Hall '-I 2 2'
loop_
_atom_site_label
_atom_site_type_symbol
_atom_site_fract_x
_atom_site_fract_y
_atom_site_fract_z
Mn1 Mn 0.000 0.000 0.225
Pb1 Pb 0.000 0.500 0.000
Cl1 Cl 0.000 0.500 0.500
```

## Properties
Polymorph energy (0 for the lowest one)   277 meV/atom
DOS at the Fermi energy   2.53 states/eV/f.u.
Total magnetic moment   14.98 μB/cell
ρ   7.2 g cm⁻³